[1]
Density functional theory data (PBE) for crystalline GdScIn2 at its relaxed geometry.

POSCAR file:
```
GdScIn2
1.0
4.725 0.000 0.000
0.000 4.725 0.000
0.000 0.000 4.449
Gd Sc In
1 1 2
Direct
0.000 0.000 0.000
0.500 0.500 0.000
0.000 0.500 0.500
0.500 0.000 0.500
```

Output
* symmetry: P4/mmm (123)
* excess energy over the best structure of this formula in the dataset: 18 meV/atom
* crystal system: tetragonal
* energy of formation from the pure elements: -440 meV/atom
* D(E_F): 3.27 states/eV/cell

[2]
Density functional theory data (PBE) for crystalline Sm5As4S at its relaxed geometry.

POSCAR file:
```
Sm5As4S
1.0
-2.090 2.090 14.774
2.090 -2.090 14.774
2.090 2.090 -14.774
Sm As S
5 4 1
Direct
0.000 0.000 0.000
0.200 0.200 0.000
0.400 0.400 0.000
0.600 0.600 0.000
0.800 0.800 0.000
0.098 0.098 0.000
0.301 0.301 0.000
0.699 0.699 0.000
0.902 0.902 0.000
0.500 0.500 0.000
```

Output
* symmetry: I4/mmm (139)
* excess energy over the best structure of this formula in the dataset: 15 meV/atom
* crystal system: tetragonal
* D(E_F): 1.87 states/eV/cell
* ΔE_f (raw): -1.645 eV/atom

[3]
Density functional theory data (PBE) for crystalline Hg2SbPt at its relaxed geometry.

POSCAR file:
```
Hg2SbPt
1.0
4.047 0.000 0.000
0.000 4.047 0.000
0.000 0.000 5.493
Hg Sb Pt
2 1 1
Direct
0.000 0.500 0.000
0.500 0.000 0.000
0.000 0.000 0.500
0.500 0.500 0.500
```

Output
* symmetry: P4/mmm (123)
* crystal system: tetragonal
* D(E_F): 1.82 states/eV/cell
* ΔE_f (raw): 0.186 eV/atom

[4]
Density functional theory data (PBE) for crystalline Ac6Tl2RhI3 at its relaxed geometry.

POSCAR file:
```
Ac6Tl2RhI3
1.0
4.182 -6.981 0.000
4.182 6.981 0.000
-2.702 0.000 8.124
Ac Tl Rh I
6 2 1 3
Direct
0.067 0.371 0.200
0.228 0.228 0.781
0.371 0.067 0.200
0.629 0.933 0.800
0.772 0.772 0.219
0.933 0.629 0.800
0.339 0.661 0.000
0.661 0.339 0.000
0.000 0.000 0.000
0.184 0.816 0.500
0.500 0.500 0.500
0.816 0.184 0.500
```

Output
* symmetry: C2/m (12)
* crystal system: monoclinic
* D(E_F): 12.26 states/eV/cell
* ΔE_f (raw): -0.745 eV/atom